--- a ---
LiTmSe: relaxed, PBE.

Size of the total moment ... 0.176 μB/f.u.

a = 4.3102 Å, b = 4.3102 Å, c = 7.2694 Å
α = 90.00°, β = 90.00°, γ = 90.00°
Site moments in Bohr magnetons follow the coordinates.
Atoms (fractional coordinates):
1 Tm 0.5000 0.5000 0.5000  0.15
2 Tm 0.0000 0.0000 0.5000  0.15
3 Se 0.0000 0.5000 0.2139  0.01
4 Se 0.5000 0.0000 0.7861  0.01
5 Li 0.5000 0.0000 0.1416  0.00
6 Li 0.0000 0.5000 0.8584  0.00

--- b ---
LiTmSe: relaxed, PBE.

Size of the total moment ... 0.000 μB/f.u.

a = 3.8694 Å, b = 4.0779 Å, c = 4.0779 Å
α = 120.00°, β = 90.00°, γ = 90.00°
Atoms (fractional coordinates):
1 Se 0.1668 0.0000 0.0000
2 Tm 0.6667 0.6667 0.3333
3 Li 0.1665 0.3333 0.6667

Which of them is least stable? Easy: a.

--- a ---
Li4U3Se8: relaxed, PBE.

Size of the total moment ... 6.002 μB/f.u.

a = 8.0100 Å, b = 8.0798 Å, c = 8.0798 Å
α = 89.31°, β = 121.04°, γ = 121.04°
Site moments in Bohr magnetons follow the coordinates.
Atoms (fractional coordinates):
1 Se 0.0000 0.2461 0.7539  -0.09
2 Se 0.0178 0.2502 0.2502  -0.08
3 Se 0.0000 0.7539 0.2461  -0.09
4 Se 0.9822 0.7498 0.7498  -0.08
5 Se 0.5149 0.2574 0.2574  -0.07
6 Se 0.5000 0.2452 0.7548  -0.06
7 Se 0.4851 0.7426 0.7426  -0.07
8 Se 0.5000 0.7548 0.2452  -0.06
9 Li 0.0000 0.0000 0.0000  0.00
10 Li 0.5000 0.0000 0.0000  -0.01
11 Li 0.0000 0.5000 0.0000  0.00
12 Li 0.0000 0.0000 0.5000  0.00
13 U 0.5000 0.5000 0.0000  2.22
14 U 0.5000 0.0000 0.5000  2.22
15 U 0.5000 0.5000 0.5000  1.77

--- b ---
Li4U3Se8: relaxed, PBE.

Size of the total moment ... 6.000 μB/f.u.

a = 8.1523 Å, b = 8.1523 Å, c = 8.3320 Å
α = 60.71°, β = 60.71°, γ = 60.00°
Site moments in Bohr magnetons follow the coordinates.
Atoms (fractional coordinates):
1 Se 0.2531 0.2531 0.7321  -0.07
2 Se 0.2531 0.7617 0.7321  -0.07
3 Se 0.7469 0.7469 0.2679  -0.07
4 Se 0.7617 0.2531 0.7321  -0.07
5 Se 0.2435 0.2435 0.2696  -0.06
6 Se 0.2383 0.7469 0.2679  -0.07
7 Se 0.7565 0.7565 0.7304  -0.06
8 Se 0.7469 0.2383 0.2679  -0.07
9 Li 0.3655 0.3655 0.9034  0.00
10 Li 0.5000 0.5000 0.5000  0.00
11 Li 0.0000 0.0000 0.0000  0.00
12 Li 0.6345 0.6345 0.0966  0.00
13 U 0.0000 0.0000 0.5000  2.09
14 U 0.5000 0.0000 0.5000  2.09
15 U 0.0000 0.5000 0.5000  2.09

Which of them is least stable? Easy: a.

--- a ---
Li2USe4: relaxed, PBE.

Size of the total moment ... 0.123 μB/f.u.

a = 7.2784 Å, b = 7.2784 Å, c = 7.2784 Å
α = 106.58°, β = 115.42°, γ = 106.58°
Site moments in Bohr magnetons follow the coordinates.
Atoms (fractional coordinates):
1 Se 0.6217 0.7352 0.9706  -0.03
2 Se 0.0294 0.6510 0.7646  -0.03
3 Se 0.1283 0.8490 0.3635  -0.03
4 Se 0.1135 0.3490 0.3783  -0.03
5 Se 0.5146 0.1510 0.2794  -0.03
6 Se 0.2354 0.2648 0.8865  -0.03
7 Se 0.6365 0.7648 0.4854  -0.03
8 Se 0.7206 0.2352 0.8717  -0.03
9 Li 0.3750 0.9422 0.8172  0.00
10 Li 0.1828 0.5578 0.1250  0.00
11 Li 0.8750 0.0578 0.4328  0.00
12 Li 0.5672 0.4422 0.6250  0.00
13 U 0.7500 0.5000 0.2500  0.28
14 U 0.0000 0.0000 0.0000  0.28

--- b ---
Li2USe4: relaxed, PBE.

Size of the total moment ... 0.000 μB/f.u.

a = 8.6045 Å, b = 7.6677 Å, c = 7.6677 Å
α = 65.01°, β = 55.87°, γ = 55.87°
Atoms (fractional coordinates):
1 Li 0.5000 0.0000 0.0000
2 Li 0.9499 0.8001 0.3001
3 Li 0.0501 0.1999 0.6999
4 Li 0.5000 0.5000 0.5000
5 U 0.5000 0.5000 0.0000
6 U 0.0000 0.5000 0.0000
7 Se 0.3112 0.2336 0.7336
8 Se 0.7215 0.2336 0.7336
9 Se 0.2147 0.7464 0.8242
10 Se 0.6888 0.7664 0.2664
11 Se 0.2147 0.3242 0.2464
12 Se 0.7853 0.6758 0.7536
13 Se 0.7853 0.2536 0.1758
14 Se 0.2785 0.7664 0.2664

Which of them is least stable? Easy: a.

--- a ---
LiU3Se6: relaxed, PBE.

Size of the total moment ... 7.000 μB/f.u.

a = 7.1502 Å, b = 7.1502 Å, c = 7.6878 Å
α = 62.29°, β = 62.29°, γ = 60.00°
Site moments in Bohr magnetons follow the coordinates.
Atoms (fractional coordinates):
1 U 0.6581 0.6581 0.0258  2.30
2 U 0.1542 0.1542 0.5373  2.42
3 U 0.3422 0.3422 0.9733  2.31
4 Se 0.7427 0.0625 0.7500  -0.07
5 Se 0.2576 0.9359 0.2529  -0.08
6 Se 0.5535 0.2576 0.2529  -0.08
7 Se 0.0625 0.4448 0.7500  -0.07
8 Se 0.4448 0.7427 0.7500  -0.07
9 Se 0.9359 0.5535 0.2529  -0.08
10 Li 0.8484 0.8484 0.4549  0.00

--- b ---
LiU3Se6: relaxed, PBE.

Size of the total moment ... 7.000 μB/f.u.

a = 6.9016 Å, b = 8.7374 Å, c = 8.7374 Å
α = 101.47°, β = 90.00°, γ = 90.00°
Site moments in Bohr magnetons follow the coordinates.
Atoms (fractional coordinates):
1 Se 0.6455 0.2314 0.7686  -0.08
2 Se 0.7098 0.5558 0.0936  -0.08
3 Se 0.6804 0.3017 0.3723  -0.08
4 Se 0.1804 0.6983 0.6277  -0.08
5 Se 0.2023 0.0267 0.9733  -0.07
6 Se 0.7098 0.9064 0.4442  -0.08
7 Se 0.7023 0.9733 0.0267  -0.07
8 Se 0.6804 0.6277 0.6983  -0.08
9 Se 0.2098 0.0936 0.5558  -0.08
10 Se 0.1804 0.3723 0.3017  -0.08
11 Se 0.2098 0.4442 0.9064  -0.08
12 Se 0.1455 0.7686 0.2314  -0.08
13 Li 0.5124 0.8066 0.1934  0.00
14 Li 0.0124 0.1934 0.8066  0.00
15 U 0.8778 0.6032 0.3968  2.26
16 U 0.3778 0.3968 0.6032  2.26
17 U 0.4835 0.9247 0.7214  2.37
18 U 0.9835 0.0753 0.2786  2.37
19 U 0.9835 0.7214 0.9247  2.37
20 U 0.4835 0.2786 0.0753  2.37

Which of them is least stable? Easy: a.

--- a ---
LiV6Se8: relaxed, PBE.

Size of the total moment ... 0.000 μB/f.u.

a = 6.6100 Å, b = 6.6100 Å, c = 6.6100 Å
α = 90.94°, β = 90.94°, γ = 90.94°
Atoms (fractional coordinates):
1 Se 0.7381 0.3943 0.1286
2 Se 0.2227 0.2227 0.2227
3 Se 0.3943 0.1286 0.7381
4 Se 0.6057 0.8714 0.2619
5 Se 0.8714 0.2619 0.6057
6 Se 0.2619 0.6057 0.8714
7 Se 0.1286 0.7381 0.3943
8 Se 0.7773 0.7773 0.7773
9 V 0.4103 0.5454 0.2180
10 V 0.7820 0.5897 0.4546
11 V 0.2180 0.4103 0.5454
12 V 0.5897 0.4546 0.7820
13 V 0.5454 0.2180 0.4103
14 V 0.4546 0.7820 0.5897
15 Li 0.0000 0.0000 0.0000

--- b ---
LiV6Se8: relaxed, PBE.

Size of the total moment ... 0.000 μB/f.u.

a = 3.3833 Å, b = 9.5200 Å, c = 9.5200 Å
α = 120.00°, β = 90.00°, γ = 90.00°
Atoms (fractional coordinates):
1 V 0.7492 0.6166 0.1075
2 V 0.7492 0.8925 0.5090
3 V 0.2508 0.1075 0.4910
4 V 0.2508 0.5090 0.6166
5 V 0.2508 0.3834 0.8925
6 V 0.7492 0.4910 0.3834
7 Se 0.2489 0.6671 0.9475
8 Se 0.2498 0.6667 0.3333
9 Se 0.7511 0.3329 0.0525
10 Se 0.2489 0.0525 0.7196
11 Se 0.7511 0.7196 0.6671
12 Se 0.7511 0.9475 0.2804
13 Se 0.7502 0.3333 0.6667
14 Se 0.2489 0.2804 0.3329
15 Li 0.5000 0.0000 0.0000

Which of them is least stable? Easy: b.

--- a ---
LiV2Se4: relaxed, PBE.

Size of the total moment ... 3.053 μB/f.u.

a = 3.5307 Å, b = 6.1604 Å, c = 7.2865 Å
α = 111.21°, β = 104.02°, γ = 90.00°
Site moments in Bohr magnetons follow the coordinates.
Atoms (fractional coordinates):
1 V 0.7496 0.7233 0.4993  1.55
2 V 0.2504 0.2767 0.5007  1.55
3 Se 0.6269 0.3134 0.2537  -0.09
4 Se 0.8543 0.1705 0.7087  -0.09
5 Se 0.1457 0.8295 0.2913  -0.09
6 Se 0.3731 0.6866 0.7463  -0.09
7 Li 0.0000 0.0000 0.0000  0.00

--- b ---
LiV2Se4: relaxed, PBE.

Size of the total moment ... 2.998 μB/f.u.

a = 7.4067 Å, b = 7.4225 Å, c = 7.4221 Å
α = 120.14°, β = 119.90°, γ = 90.03°
Site moments in Bohr magnetons follow the coordinates.
Atoms (fractional coordinates):
1 V 0.6071 0.3929 0.7575  1.60
2 V 0.6503 0.3497 0.3006  1.54
3 V 0.6071 0.8497 0.2143  1.60
4 V 0.1502 0.3928 0.7573  1.60
5 Se 0.8854 0.1147 0.2710  -0.11
6 Se 0.8854 0.6143 0.7708  -0.11
7 Se 0.8542 0.1456 0.7087  -0.12
8 Se 0.8366 0.5984 0.2384  -0.12
9 Se 0.4015 0.1632 0.8033  -0.12
10 Se 0.3689 0.6312 0.7376  -0.09
11 Se 0.4015 0.5982 0.2382  -0.12
12 Se 0.3858 0.1145 0.2714  -0.11
13 Li 0.9862 0.0146 0.9715  0.00
14 Li 0.2297 0.7701 0.4595  0.00

Which of them is least stable? Easy: b.

--- a ---
LiV2Se3: relaxed, PBE.

Size of the total moment ... 0.687 μB/f.u.

a = 4.1037 Å, b = 6.7953 Å, c = 8.6572 Å
α = 90.00°, β = 90.00°, γ = 107.57°
Site moments in Bohr magnetons follow the coordinates.
Atoms (fractional coordinates):
1 Se 0.6225 0.2449 0.0528  0.01
2 Se 0.6224 0.2449 0.4472  0.01
3 Se 0.8851 0.7701 0.2500  0.01
4 Se 0.1149 0.2299 0.7500  0.01
5 Se 0.3776 0.7551 0.5528  0.01
6 Se 0.3776 0.7551 0.9472  0.01
7 Li 0.8047 0.6093 0.7500  0.00
8 Li 0.1953 0.3907 0.2500  0.00
9 V 0.4825 0.9649 0.2500  -1.35
10 V 0.5175 0.0351 0.7500  -1.35
11 V 0.0000 0.0000 0.0000  1.88
12 V 0.0000 0.0000 0.5000  1.88

--- b ---
LiV2Se3: relaxed, PBE.

Size of the total moment ... 0.535 μB/f.u.

a = 3.6536 Å, b = 7.1267 Å, c = 9.9168 Å
α = 111.09°, β = 100.62°, γ = 90.00°
Site moments in Bohr magnetons follow the coordinates.
Atoms (fractional coordinates):
1 Se 0.9501 0.1314 0.9002  -0.03
2 Se 0.2235 0.2136 0.4470  0.00
3 Se 0.0499 0.8686 0.0998  -0.03
4 Se 0.7765 0.7864 0.5530  0.00
5 Se 0.4157 0.5380 0.8313  -0.01
6 Se 0.5843 0.4620 0.1687  -0.01
7 V 0.6996 0.4192 0.3992  -0.12
8 V 0.0899 0.2351 0.1797  0.64
9 V 0.9101 0.7649 0.8203  0.64
10 V 0.3004 0.5808 0.6008  -0.12
11 Li 0.3550 0.0995 0.7099  0.00
12 Li 0.6450 0.9005 0.2901  0.00

Which of them is least stable? Easy: b.

--- a ---
LiWSe2: relaxed, PBE.

Size of the total moment ... 0.000 μB/f.u.

a = 5.3306 Å, b = 5.3306 Å, c = 5.3306 Å
α = 143.56°, β = 107.85°, γ = 83.63°
Atoms (fractional coordinates):
1 W 0.7500 0.2500 0.5000
2 Se 0.5185 0.5185 0.0000
3 Se 0.9815 0.9815 0.0000
4 Li 0.2500 0.7500 0.5000

--- b ---
LiWSe2: relaxed, PBE.

Size of the total moment ... 0.000 μB/f.u.

a = 4.9123 Å, b = 3.3867 Å, c = 4.8560 Å
α = 69.57°, β = 90.00°, γ = 90.00°
Atoms (fractional coordinates):
1 W 0.0000 0.3969 0.3313
2 Se 0.5000 0.3605 0.4036
3 Se 0.0000 0.0990 0.9278
4 Li 0.5000 0.6436 0.8373

--- c ---
LiWSe2: relaxed, PBE.

Size of the total moment ... 0.000 μB/f.u.

a = 3.3832 Å, b = 3.3832 Å, c = 7.4886 Å
α = 77.04°, β = 77.04°, γ = 59.98°
Atoms (fractional coordinates):
1 Se 0.9955 0.9955 0.0118
2 Se 0.5045 0.5045 0.4882
3 W 0.2500 0.2500 0.2500
4 Li 0.7500 0.7500 0.7500

Which of them is least stable? Easy: a.

--- a ---
LiWSe3: relaxed, PBE.

Size of the total moment ... 0.000 μB/f.u.

a = 4.9929 Å, b = 4.9929 Å, c = 4.9929 Å
α = 90.00°, β = 90.00°, γ = 90.00°
Atoms (fractional coordinates):
1 Se 0.5000 0.0000 0.0000
2 Se 0.0000 0.0000 0.5000
3 Se 0.0000 0.5000 0.0000
4 W 0.0000 0.0000 0.0000
5 Li 0.5000 0.5000 0.5000

--- b ---
LiWSe3: relaxed, PBE.

Size of the total moment ... 0.000 μB/f.u.

a = 3.3332 Å, b = 8.1846 Å, c = 9.9196 Å
α = 119.43°, β = 90.00°, γ = 101.75°
Atoms (fractional coordinates):
1 W 0.7972 0.5944 0.1250
2 W 0.2028 0.4056 0.8750
3 Se 0.3842 0.7683 0.0482
4 Se 0.2464 0.4927 0.6616
5 Se 0.9855 0.9711 0.3710
6 Se 0.0145 0.0289 0.6290
7 Se 0.6158 0.2317 0.9518
8 Se 0.7536 0.5073 0.3384
9 Li 0.3685 0.7370 0.5633
10 Li 0.6315 0.2630 0.4367

Which of them is least stable? Easy: a.

--- a ---
LiY3Se4: relaxed, PBE.

Size of the total moment ... 0.704 μB/f.u.

a = 5.7152 Å, b = 8.3666 Å, c = 9.3010 Å
α = 90.00°, β = 90.00°, γ = 90.00°
Site moments in Bohr magnetons follow the coordinates.
Atoms (fractional coordinates):
1 Y 0.0647 0.2308 0.5000  0.08
2 Y 0.5647 0.3404 0.2195  0.08
3 Y 0.5647 0.7692 0.0000  0.08
4 Y 0.0647 0.6596 0.7195  0.08
5 Y 0.5647 0.3404 0.7805  0.08
6 Y 0.0647 0.6596 0.2805  0.08
7 Se 0.0646 0.8931 0.5000  0.00
8 Se 0.0647 0.7932 0.0000  0.01
9 Se 0.5647 0.6690 0.7087  0.01
10 Se 0.5647 0.6690 0.2913  0.01
11 Se 0.5647 0.2068 0.5000  0.01
12 Se 0.0647 0.3310 0.7913  0.01
13 Se 0.0647 0.3310 0.2087  0.01
14 Se 0.5646 0.1069 0.0000  0.00
15 Li 0.5626 0.8848 0.5000  0.00
16 Li 0.0626 0.1152 0.0000  0.00

--- b ---
LiY3Se4: relaxed, PBE.

Size of the total moment ... 0.000 μB/f.u.

a = 5.7444 Å, b = 5.7444 Å, c = 5.7444 Å
α = 90.00°, β = 90.00°, γ = 90.00°
Atoms (fractional coordinates):
1 Se 0.5000 0.5000 0.5000
2 Se 0.0000 0.5000 0.0000
3 Se 0.0000 0.0000 0.5000
4 Se 0.5000 0.0000 0.0000
5 Y 0.0000 0.5000 0.5000
6 Y 0.5000 0.0000 0.5000
7 Y 0.5000 0.5000 0.0000
8 Li 0.0000 0.0000 0.0000

Which of them is least stable? Easy: a.